Entry from the Alexandria database: a relaxed AsBr3 crystal (GGA-PBE).

Unit cell a=7.000 b=8.972 c=10.919 alpha=90.00 beta=90.00 gamma=90.00
Element x y z (fractional)
Br1 0.193 0.329 0.417
Br2 0.693 0.171 0.583
As1 0.066 0.466 0.250
Br3 0.743 0.385 0.250
As2 0.934 0.534 0.750
Br4 0.807 0.671 0.583
Br5 0.693 0.171 0.917
Br6 0.307 0.829 0.417
Br7 0.757 0.885 0.250
Br8 0.807 0.671 0.917
As3 0.434 0.966 0.250
Br9 0.193 0.329 0.083
Br10 0.243 0.115 0.750
As4 0.566 0.034 0.750
Br11 0.257 0.615 0.750
Br12 0.307 0.829 0.083

Summary:
raw total energy: -2.8506 eV per atom
space-group type: No. 62

***

Entry from the Alexandria database: a relaxed As2Br3 crystal (GGA-PBE).

Unit cell a=9.102 b=9.102 c=9.102 alpha=28.28 beta=28.28 gamma=28.28
Element x y z (fractional)
Br1 0.000 0.000 0.000
Br2 0.765 0.765 0.765
Br3 0.235 0.235 0.235
As1 0.389 0.389 0.389
As2 0.611 0.611 0.611

Summary:
raw total energy: -2.6110 eV per atom
distance to the lowest polymorph of the same formula: 1.738 eV per formula unit
space-group type: No. 166

***

Entry from the Alexandria database: a relaxed As2Br crystal (GGA-PBE).

Unit cell a=6.058 b=6.058 c=9.397 alpha=63.68 beta=63.68 gamma=36.83
Element x y z (fractional)
As1 0.330 0.330 0.505
Br1 0.890 0.890 0.037
Br2 0.030 0.030 0.385
As2 0.968 0.968 0.751
As3 0.657 0.657 0.705
As4 0.291 0.291 0.784

Summary:
raw total energy: -3.6932 eV per atom
distance to the lowest polymorph of the same formula: 0.343 eV per formula unit
space-group type: No. 8

***

Entry from the Alexandria database: a relaxed AsBr crystal (GGA-PBE).

Unit cell a=8.735 b=8.735 c=8.735 alpha=90.00 beta=90.00 gamma=90.00
Element x y z (fractional)
Br1 0.727 0.273 0.727
As1 0.606 0.606 0.606
Br2 0.227 0.773 0.227
Br3 0.727 0.727 0.273
Br4 0.773 0.773 0.773
As2 0.894 0.106 0.894
As3 0.106 0.894 0.894
Br5 0.273 0.727 0.727
Br6 0.773 0.227 0.227
As4 0.894 0.894 0.106
As5 0.394 0.394 0.606
As6 0.394 0.606 0.394
As7 0.606 0.394 0.394
As8 0.106 0.106 0.106
Br7 0.273 0.273 0.273
Br8 0.227 0.227 0.773

Summary:
raw total energy: -3.0078 eV per atom
distance to the lowest polymorph of the same formula: 0.778 eV per formula unit
space-group type: No. 217

***

Entry from the Alexandria database: a relaxed AsBr crystal (GGA-PBE).

Unit cell a=7.375 b=7.375 c=8.362 alpha=71.21 beta=71.21 gamma=29.35
Element x y z (fractional)
As1 0.486 0.486 0.777
Br1 0.946 0.946 0.443
As2 0.485 0.485 0.185
Br2 0.659 0.659 0.107
As3 0.928 0.928 0.997
Br3 0.662 0.662 0.658

Summary:
raw total energy: -3.2876 eV per atom
distance to the lowest polymorph of the same formula: 0.219 eV per formula unit
space-group type: No. 8

***

Entry from the Alexandria database: a relaxed AsBr3 crystal (GGA-PBE).

Unit cell a=4.609 b=4.609 c=4.609 alpha=90.00 beta=90.00 gamma=90.00
Element x y z (fractional)
Br1 0.000 0.500 0.500
Br2 0.500 0.500 0.000
As1 0.000 0.000 0.000
Br3 0.500 0.000 0.500

Summary:
raw total energy: -1.7814 eV per atom
space-group type: No. 221

***

Entry from the Alexandria database: a relaxed As2Br crystal (GGA-PBE).

Unit cell a=8.298 b=8.298 c=5.325 alpha=90.00 beta=90.00 gamma=154.04
Element x y z (fractional)
Br1 0.058 0.942 0.500
As1 0.095 0.905 0.000
Br2 0.386 0.614 0.000
As2 0.350 0.650 0.500
As3 0.743 0.257 0.500
As4 0.701 0.299 0.000

Summary:
raw total energy: -3.7632 eV per atom
distance to the lowest polymorph of the same formula: 0.132 eV per formula unit
space-group type: No. 63

***

Entry from the Alexandria database: a relaxed As8Br crystal (GGA-PBE).

Unit cell a=6.921 b=6.921 c=6.921 alpha=96.41 beta=96.41 gamma=140.95
Element x y z (fractional)
As1 0.300 0.700 0.000
As2 0.700 0.300 0.000
As3 0.642 0.000 0.642
As4 0.300 0.300 0.599
As5 0.000 0.358 0.358
As6 0.700 0.700 0.401
As7 0.000 0.642 0.642
Br1 0.000 0.000 0.000
As8 0.358 0.000 0.358

Summary:
raw total energy: -3.9142 eV per atom
space-group type: No. 139

***

Entry from the Alexandria database: a relaxed AsBr3 crystal (GGA-PBE).

Unit cell a=4.024 b=4.024 c=8.183 alpha=75.82 beta=75.82 gamma=59.94
Element x y z (fractional)
Br1 0.732 0.732 0.804
Br2 0.500 0.500 0.500
As1 0.000 0.000 0.000
Br3 0.268 0.268 0.196

Summary:
raw total energy: -2.3650 eV per atom
space-group type: No. 166

***

Entry from the Alexandria database: a relaxed AsBr crystal (GGA-PBE).

Unit cell a=5.071 b=5.071 c=5.032 alpha=90.00 beta=90.00 gamma=120.00
Element x y z (fractional)
As1 0.000 0.000 0.000
Br1 0.667 0.333 0.750
As2 0.000 0.000 0.500
Br2 0.333 0.667 0.250

Summary:
raw total energy: -2.7293 eV per atom
distance to the lowest polymorph of the same formula: 1.335 eV per formula unit
space-group type: No. 194

***

Entry from the Alexandria database: a relaxed AsBr crystal (GGA-PBE).

Unit cell a=3.293 b=3.293 c=4.143 alpha=90.00 beta=90.00 gamma=90.00
Element x y z (fractional)
As1 0.000 0.000 0.000
Br1 0.500 0.500 0.500

Summary:
raw total energy: -2.4948 eV per atom
distance to the lowest polymorph of the same formula: 1.804 eV per formula unit
space-group type: No. 123

***

Entry from the Alexandria database: a relaxed As2Br crystal (GGA-PBE).

Unit cell a=6.146 b=6.146 c=9.514 alpha=69.66 beta=69.66 gamma=34.91
Element x y z (fractional)
As1 0.091 0.091 0.068
Br1 0.310 0.310 0.945
As2 0.853 0.853 0.543
As3 0.357 0.357 0.358
As4 0.587 0.587 0.253
Br2 0.635 0.635 0.666

Summary:
raw total energy: -3.8074 eV per atom
distance to the lowest polymorph of the same formula: 0.000 eV per formula unit
space-group type: No. 12

***

Entry from the Alexandria database: a relaxed AsBr crystal (GGA-PBE).

Unit cell a=3.892 b=4.313 c=9.090 alpha=61.74 beta=90.00 gamma=90.00
Element x y z (fractional)
As1 0.000 0.076 0.868
As2 0.500 0.674 0.882
Br1 0.500 0.358 0.179
Br2 0.000 0.392 0.571

Summary:
raw total energy: -3.3969 eV per atom
distance to the lowest polymorph of the same formula: 0.000 eV per formula unit
space-group type: No. 11

***

Entry from the Alexandria database: a relaxed AsBr crystal (GGA-PBE).

Unit cell a=14.095 b=14.095 c=3.740 alpha=90.00 beta=90.00 gamma=90.00
Element x y z (fractional)
Br1 0.434 0.271 0.000
As1 0.692 0.269 0.000
Br2 0.229 0.934 0.500
Br3 0.934 0.771 0.500
As2 0.231 0.192 0.500
As3 0.308 0.731 0.000
As4 0.808 0.231 0.500
Br4 0.566 0.729 0.000
Br5 0.771 0.066 0.500
Br6 0.066 0.229 0.500
As5 0.192 0.769 0.500
Br7 0.271 0.566 0.000
As6 0.269 0.308 0.000
As7 0.731 0.692 0.000
Br8 0.729 0.434 0.000
As8 0.769 0.808 0.500

Summary:
raw total energy: -3.3855 eV per atom
distance to the lowest polymorph of the same formula: 0.023 eV per formula unit
space-group type: No. 87

***

Entry from the Alexandria database: a relaxed AsBr3 crystal (GGA-PBE).

Unit cell a=13.413 b=13.413 c=13.413 alpha=161.23 beta=161.23 gamma=26.66
Element x y z (fractional)
As1 0.682 0.682 0.000
As2 0.318 0.318 0.000
Br1 0.855 0.855 0.000
Br2 0.250 0.750 0.500
Br3 0.145 0.145 0.000
Br4 0.000 0.500 0.500
Br5 0.500 0.000 0.500
Br6 0.750 0.250 0.500

Summary:
raw total energy: -2.0066 eV per atom
space-group type: No. 139

***

Entry from the Alexandria database: a relaxed AsBr3 crystal (GGA-PBE).

Unit cell a=13.215 b=13.215 c=13.215 alpha=13.98 beta=13.98 gamma=13.98
Element x y z (fractional)
Br1 0.934 0.934 0.934
Br2 0.500 0.500 0.500
Br3 0.066 0.066 0.066
As1 0.000 0.000 0.000

Summary:
raw total energy: -2.1456 eV per atom
space-group type: No. 166

***

Entry from the Alexandria database: a relaxed AsBr crystal (GGA-PBE).

Unit cell a=12.233 b=12.233 c=3.813 alpha=90.00 beta=90.00 gamma=90.00
Element x y z (fractional)
Br1 0.640 0.279 0.500
As1 0.180 0.106 0.000
Br2 0.893 0.372 0.000
Br3 0.721 0.640 0.500
As2 0.820 0.894 0.000
Br4 0.107 0.628 0.000
As3 0.762 0.130 0.500
Br5 0.372 0.107 0.000
As4 0.894 0.180 0.000
As5 0.870 0.762 0.500
As6 0.106 0.820 0.000
As7 0.238 0.870 0.500
Br6 0.628 0.893 0.000
Br7 0.360 0.721 0.500
As8 0.130 0.238 0.500
Br8 0.279 0.360 0.500

Summary:
raw total energy: -3.3530 eV per atom
distance to the lowest polymorph of the same formula: 0.088 eV per formula unit
space-group type: No. 83

***

Entry from the Alexandria database: a relaxed AsBr crystal (GGA-PBE).

Unit cell a=3.793 b=3.793 c=26.749 alpha=90.00 beta=90.00 gamma=120.00
Element x y z (fractional)
Br1 0.667 0.333 0.567
Br2 0.667 0.333 0.767
As1 0.000 0.000 0.691
Br3 0.000 0.000 0.100
As2 0.667 0.333 0.024
As3 0.333 0.667 0.976
As4 0.000 0.000 0.309
As5 0.333 0.667 0.642
Br4 0.000 0.000 0.900
As6 0.667 0.333 0.358
Br5 0.333 0.667 0.433
Br6 0.333 0.667 0.233

Summary:
raw total energy: -3.1271 eV per atom
distance to the lowest polymorph of the same formula: 0.540 eV per formula unit
space-group type: No. 164

***

Entry from the Alexandria database: a relaxed AsBr3 crystal (GGA-PBE).

Unit cell a=9.539 b=9.539 c=9.539 alpha=23.80 beta=23.80 gamma=23.80
Element x y z (fractional)
Br1 0.000 0.000 0.000
As1 0.500 0.500 0.500
Br2 0.107 0.107 0.107
Br3 0.893 0.893 0.893

Summary:
raw total energy: -2.2648 eV per atom
space-group type: No. 166

***

Entry from the Alexandria database: a relaxed AsBr3 crystal (GGA-PBE).

Unit cell a=3.842 b=7.512 c=7.514 alpha=41.43 beta=90.00 gamma=90.00
Element x y z (fractional)
Br1 0.500 0.133 0.133
As1 0.000 0.000 0.000
Br2 0.500 0.867 0.867
Br3 0.000 0.500 0.500

Summary:
raw total energy: -2.7490 eV per atom
space-group type: No. 65